## P
Computed, not measured: a relaxed AcTlBi4 crystal at the PBE level of DFT.

N(E_F): 0.65 states/eV/atom
Crystal system: cubic

a = 9.410 Å, b = 9.410 Å, c = 9.410 Å
α = 90.00°, β = 90.00°, γ = 90.00°
Space group F-43m (No. 216)
Symmetry-distinct sites (fractional):
Ac: 0.000 0.000 0.000
Tl: 0.250 0.250 0.750
Bi: 0.124 0.124 0.376


## Q
Computed, not measured: a relaxed AcTlBi4 crystal at the PBE level of DFT.

N(E_F): 0.73 states/eV/atom
Crystal system: orthorhombic

a = 5.942 Å, b = 6.861 Å, c = 9.906 Å
α = 90.00°, β = 90.00°, γ = 90.00°
Space group Immm (No. 71)
Symmetry-distinct sites (fractional):
Ac: 0.000 0.000 0.000
Tl: 0.000 0.500 0.000
Bi: 0.000 0.261 0.336


Most stable one: Q, least stable one: P.


## P
Computed, not measured: a relaxed AcTmBi crystal at the PBE level of DFT.

N(E_F): 1.53 states/eV/atom
Crystal system: hexagonal

a = 5.3353 Å, b = 5.3353 Å, c = 4.3713 Å
α = 90.00°, β = 90.00°, γ = 120.00°
Space group P-6m2 (No. 187)
Symmetry-distinct sites (fractional):
Ac: 0.0000 0.0000 0.0000
Tm: 0.6667 0.3333 0.5000
Bi: 0.3333 0.6667 0.5000


## Q
Computed, not measured: a relaxed AcTmBi crystal at the PBE level of DFT.

N(E_F): 0.85 states/eV/atom
Crystal system: orthorhombic

a = 4.303 Å, b = 14.387 Å, c = 6.804 Å
α = 90.00°, β = 90.00°, γ = 90.00°
Space group Cmcm (No. 63)
Symmetry-distinct sites (fractional):
Ac: 0.000 0.000 0.000
Tm: 0.000 0.307 0.250
Bi: 0.000 0.346 0.750


Most stable one: Q, least stable one: P.


## P
Computed, not measured: a relaxed AcTm2Bi crystal at the PBE level of DFT.

N(E_F): 1.26 states/eV/atom
Crystal system: tetragonal

a = 4.018 Å, b = 4.018 Å, c = 7.975 Å
α = 90.00°, β = 90.00°, γ = 90.00°
Space group P4/mmm (No. 123)
Symmetry-distinct sites (fractional):
Ac: 0.000 0.000 0.000
Tm: 0.500 0.500 0.292
Bi: 0.000 0.000 0.500


## Q
Computed, not measured: a relaxed AcTm2Bi crystal at the PBE level of DFT.

N(E_F): 1.33 states/eV/atom
Crystal system: cubic

a = 7.920 Å, b = 7.920 Å, c = 7.920 Å
α = 90.00°, β = 90.00°, γ = 90.00°
Space group Fm-3m (No. 225)
Symmetry-distinct sites (fractional):
Ac: 0.000 0.000 0.000
Tm: 0.250 0.250 0.250
Bi: 0.000 0.000 0.500


Most stable one: P, least stable one: Q.


## P
Computed, not measured: a relaxed AcZrBi crystal at the PBE level of DFT.

N(E_F): 0.71 states/eV/atom
Crystal system: tetragonal

a = 4.643 Å, b = 4.643 Å, c = 9.903 Å
α = 90.00°, β = 90.00°, γ = 90.00°
Space group P4/nmm (No. 129, origin choice 2)
Symmetry-distinct sites (fractional):
Ac: 0.250 0.250 0.201
Zr: 0.250 0.250 0.555
Bi: 0.250 0.250 0.855


## Q
Computed, not measured: a relaxed AcZrBi crystal at the PBE level of DFT.

N(E_F): 1.31 states/eV/atom
Crystal system: tetragonal

a = 3.978 Å, b = 3.978 Å, c = 12.041 Å
α = 90.00°, β = 90.00°, γ = 90.00°
Space group I4mm (No. 107)
Symmetry-distinct sites (fractional):
Ac: 0.000 0.000 0.000
Zr: 0.000 0.000 0.307
Bi: 0.000 0.000 0.705


Most stable one: Q, least stable one: P.


## P
Computed, not measured: a relaxed AcZrBi3 crystal at the PBE level of DFT.

N(E_F): 0.50 states/eV/atom
Crystal system: orthorhombic

a = 14.422 Å, b = 6.779 Å, c = 6.670 Å
α = 90.00°, β = 90.00°, γ = 90.00°
Space group Pbcm (No. 57)
Symmetry-distinct sites (fractional):
Ac: 0.185 0.010 0.250
Zr: 0.412 0.750 0.000
Bi: 0.003 0.750 0.000
Bi: 0.272 0.512 0.250
Bi: 0.425 0.116 0.250


## Q
Computed, not measured: a relaxed AcZrBi3 crystal at the PBE level of DFT.

N(E_F): 0.62 states/eV/atom
Crystal system: cubic

a = 5.683 Å, b = 5.683 Å, c = 5.683 Å
α = 90.00°, β = 90.00°, γ = 90.00°
Space group Pm-3m (No. 221)
Symmetry-distinct sites (fractional):
Ac: 0.000 0.000 0.000
Zr: 0.500 0.500 0.500
Bi: 0.000 0.500 0.500


Most stable one: P, least stable one: Q.


## P
Computed, not measured: a relaxed AcBr2Cl crystal at the PBE level of DFT.

N(E_F): 0.00 states/eV/atom
Crystal system: orthorhombic

a = 9.754 Å, b = 9.808 Å, c = 10.114 Å
α = 90.00°, β = 90.00°, γ = 90.00°
Space group Fmmm (No. 69)
Symmetry-distinct sites (fractional):
Ac: 0.000 0.236 0.000
Br: 0.178 0.000 0.500
Br: 0.250 0.250 0.250
Cl: 0.000 0.000 0.169


## Q
Computed, not measured: a relaxed AcBr2Cl crystal at the PBE level of DFT.

N(E_F): 0.00 states/eV/atom
Crystal system: cubic

a = 7.599 Å, b = 7.599 Å, c = 7.599 Å
α = 90.00°, β = 90.00°, γ = 90.00°
Space group Fm-3m (No. 225)
Symmetry-distinct sites (fractional):
Ac: 0.000 0.000 0.000
Br: 0.250 0.250 0.250
Cl: 0.000 0.000 0.500


## R
Computed, not measured: a relaxed AcBr2Cl crystal at the PBE level of DFT.

N(E_F): 0.00 states/eV/atom
Crystal system: orthorhombic

a = 4.397 Å, b = 13.971 Å, c = 9.478 Å
α = 90.00°, β = 90.00°, γ = 90.00°
Space group Cmcm (No. 63)
Symmetry-distinct sites (fractional):
Ac: 0.000 0.242 0.250
Br: 0.000 0.148 0.564
Cl: 0.000 0.393 0.750


Most stable one: R, least stable one: Q.


## P
Computed, not measured: a relaxed AcBrCl crystal at the PBE level of DFT.

N(E_F): 0.27 states/eV/atom
Crystal system: trigonal

a = 5.1443 Å, b = 5.1443 Å, c = 4.0738 Å
α = 90.00°, β = 90.00°, γ = 120.00°
Space group P3m1 (No. 156)
Symmetry-distinct sites (fractional):
Ac: 0.0000 0.0000 0.0000
Br: 0.3333 0.6667 0.6805
Cl: 0.6667 0.3333 0.1748


## Q
Computed, not measured: a relaxed AcBrCl crystal at the PBE level of DFT.

N(E_F): 0.73 states/eV/atom
Crystal system: cubic

a = 7.331 Å, b = 7.331 Å, c = 7.331 Å
α = 90.00°, β = 90.00°, γ = 90.00°
Space group F-43m (No. 216)
Symmetry-distinct sites (fractional):
Ac: 0.000 0.000 0.000
Br: 0.250 0.250 0.250
Cl: 0.250 0.250 0.750


Most stable one: P, least stable one: Q.


## P
Computed, not measured: a relaxed Ac4CoBr5 crystal at the PBE level of DFT.

N(E_F): 0.42 states/eV/atom
Crystal system: monoclinic

a = 20.349 Å, b = 4.264 Å, c = 9.173 Å
α = 90.00°, β = 106.34°, γ = 90.00°
Space group C2/m (No. 12)
Symmetry-distinct sites (fractional):
Ac: 0.003 0.000 0.290
Ac: 0.152 0.500 0.609
Co: 0.000 0.500 0.500
Br: 0.000 0.500 0.000
Br: 0.165 0.000 0.869
Br: 0.175 0.000 0.362


## Q
Computed, not measured: a relaxed Ac4CoBr5 crystal at the PBE level of DFT.

N(E_F): 0.23 states/eV/atom
Crystal system: monoclinic

a = 19.841 Å, b = 4.279 Å, c = 9.169 Å
α = 90.00°, β = 98.46°, γ = 90.00°
Space group C2/m (No. 12)
Symmetry-distinct sites (fractional):
Ac: 0.004 0.000 0.214
Ac: 0.151 0.500 0.040
Co: 0.000 0.500 0.000
Br: 0.000 0.500 0.500
Br: 0.164 0.000 0.787
Br: 0.168 0.000 0.296


Most stable one: P, least stable one: Q.


## P
Computed, not measured: a relaxed Ac2CuBr crystal at the PBE level of DFT.

N(E_F): 0.77 states/eV/atom
Crystal system: trigonal

a = 4.4660 Å, b = 4.4660 Å, c = 23.3981 Å
α = 90.00°, β = 90.00°, γ = 120.00°
Space group R-3m (No. 166, hexagonal axes)
Symmetry-distinct sites (fractional):
Ac: 0.0000 0.0000 0.2377
Cu: 0.0000 0.0000 0.5000
Br: 0.0000 0.0000 0.0000


## Q
Computed, not measured: a relaxed Ac2CuBr crystal at the PBE level of DFT.

N(E_F): 0.88 states/eV/atom
Crystal system: tetragonal

a = 3.723 Å, b = 3.723 Å, c = 8.761 Å
α = 90.00°, β = 90.00°, γ = 90.00°
Space group P4/mmm (No. 123)
Symmetry-distinct sites (fractional):
Ac: 0.000 0.000 0.218
Cu: 0.500 0.500 0.000
Br: 0.500 0.500 0.500


Most stable one: P, least stable one: Q.


## P
Computed, not measured: a relaxed AcEuBr crystal at the PBE level of DFT.

N(E_F): 0.74 states/eV/atom
Crystal system: tetragonal

a = 3.820 Å, b = 3.820 Å, c = 15.129 Å
α = 90.00°, β = 90.00°, γ = 90.00°
Space group I4mm (No. 107)
Symmetry-distinct sites (fractional):
Ac: 0.000 0.000 0.000
Eu: 0.000 0.000 0.697
Br: 0.000 0.000 0.343


## Q
Computed, not measured: a relaxed AcEuBr crystal at the PBE level of DFT.

N(E_F): 2.84 states/eV/atom
Crystal system: trigonal

a = 4.0299 Å, b = 4.0299 Å, c = 8.0782 Å
α = 90.00°, β = 90.00°, γ = 120.00°
Space group P3m1 (No. 156)
Symmetry-distinct sites (fractional):
Ac: 0.0000 0.0000 0.0000
Eu: 0.6667 0.3333 0.4014
Br: 0.3333 0.6667 0.6876


Most stable one: Q, least stable one: P.


## P
Computed, not measured: a relaxed AcBr2F crystal at the PBE level of DFT.

N(E_F): 0.00 states/eV/atom
Crystal system: orthorhombic

a = 9.081 Å, b = 9.488 Å, c = 10.300 Å
α = 90.00°, β = 90.00°, γ = 90.00°
Space group Fmmm (No. 69)
Symmetry-distinct sites (fractional):
Ac: 0.000 0.206 0.000
Br: 0.186 0.000 0.500
Br: 0.250 0.250 0.250
F: 0.000 0.000 0.131


## Q
Computed, not measured: a relaxed AcBr2F crystal at the PBE level of DFT.

N(E_F): 0.00 states/eV/atom
Crystal system: monoclinic

a = 7.623 Å, b = 4.400 Å, c = 7.975 Å
α = 90.00°, β = 107.58°, γ = 90.00°
Space group Cm (No. 8)
Symmetry-distinct sites (fractional):
Ac: 0.000 0.000 0.000
Br: 0.084 0.500 0.738
Br: 0.250 0.500 0.262
F: 0.333 0.000 0.000


Most stable one: Q, least stable one: P.


## P
Computed, not measured: a relaxed Ac2GaBr2 crystal at the PBE level of DFT.

N(E_F): 0.48 states/eV/atom
Crystal system: monoclinic

a = 11.972 Å, b = 9.034 Å, c = 7.448 Å
α = 90.00°, β = 107.63°, γ = 90.00°
Space group P2_1/c (No. 14)
Symmetry-distinct sites (fractional):
Ac: 0.010 0.107 0.241
Ac: 0.340 0.106 0.731
Ga: 0.172 0.156 0.982
Br: 0.170 0.646 0.003
Br: 0.469 0.712 0.398


## Q
Computed, not measured: a relaxed Ac2GaBr2 crystal at the PBE level of DFT.

N(E_F): 0.45 states/eV/atom
Crystal system: monoclinic

a = 7.782 Å, b = 4.495 Å, c = 12.336 Å
α = 90.00°, β = 103.36°, γ = 90.00°
Space group C2/m (No. 12)
Symmetry-distinct sites (fractional):
Ac: 0.226 0.000 0.163
Ga: 0.000 0.500 0.000
Br: 0.050 0.000 0.681


Most stable one: Q, least stable one: P.